Compound: SnGeTeAu
Source: Alexandria
Functional: PBE
Structure: optimized geometry

Properties
Mass density = 7.39 Mg/m³
Total energy = -29.73 eV/cell
Symmetry = No. 166

Lattice parameters (Å, degrees): 12.255 12.255 12.255 22.28 22.28 22.28
Fractional positions:
Sn1 0.203 0.203 0.203
Sn2 0.797 0.797 0.797
Ge1 0.409 0.409 0.409
Ge2 0.591 0.591 0.591
Te1 0.290 0.290 0.290
Te2 0.710 0.710 0.710
Au1 0.120 0.120 0.120
Au2 0.880 0.880 0.880